No. 1
Computed, not measured: K2GaPdF6 after structural relaxation at the PBE-GGA level of DFT.

* symmetry: No. 166
* total magnetization: 1.000 μB/f.u.

Unit cell a=11.7063 b=11.7063 c=11.7063 alpha=29.21 beta=29.21 gamma=29.21
With the nearest neighbours (Å) after each atom.
Atoms (fractional coordinates):
K  0.1355  0.1355  0.1355  9 F 2.84-2.96
K  0.2974  0.2974  0.2974  9 F 2.93-2.96
K  0.7026  0.7026  0.7026  9 F 2.93-2.96
K  0.8645  0.8645  0.8645  9 F 2.84-2.96
Ga  0.0000  0.0000  0.0000  6 F 1.93
Ga  0.5000  0.5000  0.5000  6 F 1.93
Pd  0.4106  0.4106  0.4106  6 F 2.36-2.45
Pd  0.5894  0.5894  0.5894  6 F 2.36-2.45
F  0.1592  0.6203  0.6203  1 Ga 1.93
F  0.1882  0.1882  0.7210  1 Ga 1.93
F  0.1882  0.7210  0.1882  1 Ga 1.93
F  0.2790  0.8118  0.8118  1 Ga 1.93
F  0.3797  0.3797  0.8408  1 Ga 1.93
F  0.3797  0.8408  0.3797  1 Ga 1.93
F  0.6203  0.1592  0.6203  1 Ga 1.93
F  0.6203  0.6203  0.1592  1 Ga 1.93
F  0.7210  0.1882  0.1882  1 Ga 1.93
F  0.8118  0.2790  0.8118  1 Ga 1.93
F  0.8118  0.8118  0.2790  1 Ga 1.93
F  0.8408  0.3797  0.3797  1 Ga 1.93

No. 2
Computed, not measured: K2Ga3PdF12 after structural relaxation at the PBE-GGA level of DFT.

* symmetry: No. 166
* total magnetization: 1.000 μB/f.u.

Unit cell a=7.2191 b=7.2191 c=7.2191 alpha=61.96 beta=61.96 gamma=61.96
With the nearest neighbours (Å) after each atom.
Atoms (fractional coordinates):
K  0.1253  0.1253  0.1253  3 F 2.69
K  0.8747  0.8747  0.8747  3 F 2.69
Ga  0.0000  0.5000  0.5000  6 F 1.86-1.95
Ga  0.5000  0.0000  0.5000  6 F 1.86-1.95
Ga  0.5000  0.5000  0.0000  6 F 1.86-1.95
Pd  0.5000  0.5000  0.5000  6 F 2.50
F  0.0877  0.6161  0.6161  1 Ga 1.86
F  0.2093  0.2093  0.5985  2 Ga 1.95
F  0.2093  0.5985  0.2093  2 Ga 1.95
F  0.3839  0.3839  0.9123  1 Ga 1.86
F  0.3839  0.9123  0.3839  1 Ga 1.86
F  0.4015  0.7907  0.7907  2 Ga 1.95
F  0.5985  0.2093  0.2093  2 Ga 1.95
F  0.6161  0.0877  0.6161  1 Ga 1.86
F  0.6161  0.6161  0.0877  1 Ga 1.86
F  0.7907  0.4015  0.7907  2 Ga 1.95
F  0.7907  0.7907  0.4015  2 Ga 1.95
F  0.9123  0.3839  0.3839  1 Ga 1.86

No. 3
Computed, not measured: K2PmGaF8 after structural relaxation at the PBE-GGA level of DFT.

* symmetry: No. 10
* total magnetization: 0.107 μB/f.u.

Unit cell a=4.4417 b=7.1642 c=6.1111 alpha=90.00 beta=95.41 gamma=90.00
With the nearest neighbours (Å) after each atom.
Atoms (fractional coordinates):
K  0.0000  0.2312  0.0000  6 F 2.58-2.72
K  0.0000  0.7688  0.0000  6 F 2.58-2.72
Pm  0.5000  0.5000  0.5000  6 F 2.26-2.37
Ga  0.5000  0.0000  0.5000  6 F 1.83-2.04
F  0.0587  0.5000  0.2823  1 Pm 2.26
F  0.1436  0.0000  0.3228  1 Ga 1.83
F  0.4033  0.2214  0.6911  1 Ga 2.04
F  0.4033  0.7786  0.6911  1 Ga 2.04
F  0.5967  0.2214  0.3089  1 Ga 2.04
F  0.5967  0.7786  0.3089  1 Ga 2.04
F  0.8564  0.0000  0.6772  1 Ga 1.83
F  0.9413  0.5000  0.7177  1 Pm 2.26

No. 4
Computed, not measured: K2PrGaF8 after structural relaxation at the PBE-GGA level of DFT.

* symmetry: No. 10
* total magnetization: 0.099 μB/f.u.

Unit cell a=4.3643 b=7.2902 c=6.1090 alpha=90.00 beta=95.67 gamma=90.00
With the nearest neighbours (Å) after each atom.
Atoms (fractional coordinates):
K  0.0000  0.2293  0.0000  6 F 2.61-2.72
K  0.0000  0.7707  0.0000  6 F 2.61-2.72
Pr  0.5000  0.5000  0.5000  6 F 2.33-2.42
Ga  0.5000  0.0000  0.5000  6 F 1.84-2.04
F  0.0303  0.5000  0.2812  1 Pr 2.33, 2 K 2.61
F  0.1350  0.0000  0.3226  1 Ga 1.84
F  0.4112  0.2180  0.6937  1 Ga 2.04
F  0.4112  0.7820  0.6937  1 Ga 2.04
F  0.5888  0.2180  0.3063  1 Ga 2.04
F  0.5888  0.7820  0.3063  1 Ga 2.04
F  0.8650  0.0000  0.6774  1 Ga 1.84
F  0.9697  0.5000  0.7188  1 Pr 2.33, 2 K 2.61

No. 5
Computed, not measured: K2PuGaF8 after structural relaxation at the PBE-GGA level of DFT.

* symmetry: No. 10
* total magnetization: 5.000 μB/f.u.

Unit cell a=4.9313 b=7.1021 c=6.0084 alpha=90.00 beta=92.56 gamma=90.00
With the nearest neighbours (Å) after each atom.
Atoms (fractional coordinates):
K  0.0000  0.2287  0.0000  6 F 2.57-2.69
K  0.0000  0.7713  0.0000  6 F 2.57-2.69
Pu  0.5000  0.5000  0.5000  6 F 2.21-2.39
Ga  0.5000  0.0000  0.5000  6 F 1.84-2.02
F  0.1452  0.5000  0.2611  1 Pu 2.21
F  0.2022  0.0000  0.3046  1 Ga 1.84
F  0.3596  0.2174  0.6773  1 Ga 2.02
F  0.3596  0.7826  0.6773  1 Ga 2.02
F  0.6404  0.2174  0.3227  1 Ga 2.02
F  0.6404  0.7826  0.3227  1 Ga 2.02
F  0.7978  0.0000  0.6954  1 Ga 1.84
F  0.8548  0.5000  0.7389  1 Pu 2.21

No. 6
Computed, not measured: K2RbGaF6 after structural relaxation at the PBE-GGA level of DFT.

* symmetry: No. 225
* total magnetization: 0.000 μB/f.u.

Unit cell a=6.4227 b=6.4227 c=6.4227 alpha=60.00 beta=60.00 gamma=60.00
With the nearest neighbours (Å) after each atom.
Atoms (fractional coordinates):
K  0.2500  0.2500  0.2500  12 F 3.23
K  0.7500  0.7500  0.7500  12 F 3.23
Rb  0.0000  0.0000  0.0000  6 F 2.62
Ga  0.5000  0.5000  0.5000  6 F 1.92
F  0.2882  0.2882  0.7118  1 Ga 1.92
F  0.2882  0.7118  0.2882  1 Ga 1.92
F  0.2882  0.7118  0.7118  1 Ga 1.92
F  0.7118  0.2882  0.2882  1 Ga 1.92
F  0.7118  0.2882  0.7118  1 Ga 1.92
F  0.7118  0.7118  0.2882  1 Ga 1.92

No. 7
Computed, not measured: KRbGa2F8 after structural relaxation at the PBE-GGA level of DFT.

* symmetry: No. 82
* total magnetization: 0.276 μB/f.u.

Unit cell a=7.4939 b=7.4939 c=7.4939 alpha=134.25 beta=134.25 gamma=66.70
With the nearest neighbours (Å) after each atom.
Atoms (fractional coordinates):
K  0.0000  0.0000  0.0000  8 F 2.78-2.82
Rb  0.7500  0.2500  0.5000  8 F 2.85-2.87
Ga  0.2500  0.7500  0.5000  4 F 1.81
Ga  0.5000  0.5000  0.0000  4 F 1.81
F  0.0368  0.8901  0.5880  1 Ga 1.81
F  0.1099  0.6979  0.1467  1 Ga 1.81
F  0.2075  0.2740  0.6376  1 Ga 1.81
F  0.3021  0.4488  0.4120  1 Ga 1.81
F  0.4301  0.7925  0.0665  1 Ga 1.81
F  0.5512  0.9632  0.8533  1 Ga 1.81
F  0.6364  0.5699  0.3624  1 Ga 1.81
F  0.7260  0.3636  0.9335  1 Ga 1.81

No. 8
Computed, not measured: KRb2Ga3F12 after structural relaxation at the PBE-GGA level of DFT.

* symmetry: No. 166
* total magnetization: 0.180 μB/f.u.

Unit cell a=7.4257 b=7.4257 c=7.4257 alpha=60.68 beta=60.68 gamma=60.68
With the nearest neighbours (Å) after each atom.
Atoms (fractional coordinates):
K  0.0000  0.0000  0.0000  6 F 2.69
Rb  0.3798  0.3798  0.3798  3 F 2.79
Rb  0.6202  0.6202  0.6202  3 F 2.79
Ga  0.0000  0.0000  0.5000  6 F 1.84-1.98
Ga  0.0000  0.5000  0.0000  6 F 1.84-1.98
Ga  0.5000  0.0000  0.0000  6 F 1.84-1.98
F  0.1021  0.7189  0.7189  2 Ga 1.98
F  0.1199  0.1199  0.5627  1 Ga 1.84
F  0.1199  0.5627  0.1199  1 Ga 1.84
F  0.2811  0.2811  0.8979  2 Ga 1.98
F  0.2811  0.8979  0.2811  2 Ga 1.98
F  0.4373  0.8801  0.8801  1 Ga 1.84
F  0.5627  0.1199  0.1199  1 Ga 1.84
F  0.7189  0.1021  0.7189  2 Ga 1.98
F  0.7189  0.7189  0.1021  2 Ga 1.98
F  0.8801  0.4373  0.8801  1 Ga 1.84
F  0.8801  0.8801  0.4373  1 Ga 1.84
F  0.8979  0.2811  0.2811  2 Ga 1.98

no.,E_form (uncorrected) (eV per atom)
1,-2.26
2,-2.44
3,-3.13
4,-3.12
5,-3.00
6,-2.76
7,-2.74
8,-2.76